The following is a DFT calculation (GGA-PBEsol) of a relaxed PbWO4 crystal.

abc: 7.358 7.049 14.585
angles: 90.00 119.36 90.00
Space group P2_1/c (No. 14)
Asymmetric unit:
Pb1 0.005 0.195 0.348 x4
Pb2 0.469 0.063 0.848 x4
W1 0.005 0.663 0.417 x4
W2 0.432 0.050 0.586 x4
O1 0.141 0.576 0.579 x4
O2 0.162 0.248 0.715 x4
O3 0.169 0.509 0.387 x4
O4 0.173 0.631 0.973 x4
O5 0.210 0.223 0.543 x4
O6 0.361 0.702 0.830 x4
O7 0.399 0.583 0.183 x4
O8 0.410 0.138 0.442 x4

Output
The formation energy (no corrections) is -180.5 kJ/mol of atoms. For the energy above the most stable polymorph in this dataset, the calculation gives 24 meV/atom. For the density of states at the Fermi level, the calculation gives 0.0 states/eV per cell.

---

The following is a DFT calculation (GGA-PBEsol) of a relaxed Y2PbO crystal.

abc: 7.061 7.061 7.061
angles: 90.00 90.00 90.00
Space group Fm-3m (No. 225)
Asymmetric unit:
Y1 0.250 0.250 0.250 x8
Pb1 0.000 0.000 0.000 x4
O1 0.000 0.000 0.500 x4

Output
The formation energy (no corrections) is -70.8 kJ/mol of atoms. For the density of states at the Fermi level, the calculation gives 6.1 states/eV per cell.

---

The following is a DFT calculation (GGA-PBEsol) of a relaxed Y2PbO2 crystal.

abc: 3.793 3.793 13.954
angles: 90.00 90.00 90.00
Space group I4/mmm (No. 139)
Asymmetric unit:
Y1 0.000 0.000 0.170 x4
Pb1 0.000 0.000 0.500 x2
O1 0.000 0.500 0.250 x4

Output
The formation energy (no corrections) is -252.0 kJ/mol of atoms. For the density of states at the Fermi level, the calculation gives 3.5 states/eV per cell.

---

The following is a DFT calculation (GGA-PBEsol) of a relaxed ZnPbO3 crystal.

abc: 5.4394 5.4394 14.3413
angles: 90.00 90.00 120.00
Space group R3c (No. 161, hexagonal axes)
Asymmetric unit:
Zn1 0.0000 0.0000 0.0000 x6
Pb1 0.0000 0.0000 0.2180 x6
O1 0.0182 0.3069 0.1085 x18

Output
The formation energy (no corrections) is -103.7 kJ/mol of atoms. For the density of states at the Fermi level, the calculation gives 7.7 states/eV per cell.